# TaBe2Se

An optimized crystal structure of TaBe2Se (GGA-PBEsol, Alexandria via LeMat-Bulk).

Cell lengths 3.3946, 3.5026, 4.3543 Å; angles 90.00, 90.00, 90.00 degrees
Element x y z (fractional)
1 Ta 0.0000 0.0000 0.0000
2 Be 0.0000 0.5000 0.5000
3 Be 0.5000 0.5000 0.0000
4 Se 0.5000 0.0000 0.5000

Computed properties:
As for the formation energy from raw total energies: 0.2427 eV/atom. The space-group type is Pmmm (47). The calculation puts the electronic total energy at -0.2153 Ha/atom.

# ZrFe2Si

An optimized crystal structure of ZrFe2Si (GGA-PBEsol, Alexandria via LeMat-Bulk).

Cell lengths 5.4351, 7.9249, 2.7626 Å; angles 90.00, 115.91, 90.00 degrees
Element x y z (fractional)
1 Zr 0.0000 0.0000 0.0000
2 Zr 0.5000 0.5000 0.0000
3 Fe 0.2500 0.2500 0.5000
4 Fe 0.2500 0.7500 0.5000
5 Fe 0.7500 0.2500 0.5000
6 Fe 0.7500 0.7500 0.5000
7 Si 0.0000 0.5000 0.0000
8 Si 0.5000 0.0000 0.0000

Computed properties:
As for the formation energy from raw total energies: -0.0583 eV/atom. The space-group type is C2/m (12). The calculation puts the electronic total energy at -0.3032 Ha/atom.

# TlSbPb

An optimized crystal structure of TlSbPb (GGA-PBEsol, Alexandria via LeMat-Bulk).

Cell lengths 5.5681, 5.5681, 3.2216 Å; angles 90.00, 90.00, 120.00 degrees
Element x y z (fractional)
1 Tl 0.0000 0.0000 0.0000
2 Sb 0.3333 0.6667 0.5032
3 Pb 0.6667 0.3333 0.5018

Computed properties:
The calculation puts the offset from the most stable computed form at 0.0 meV/atom. As for the formation energy from raw total energies: 0.0088 eV/atom. The space-group type is P3m1 (156). The calculation puts the electronic total energy at -0.1367 Ha/atom.

# La2ZnCl

An optimized crystal structure of La2ZnCl (GGA-PBEsol, Alexandria via LeMat-Bulk).

Cell lengths 4.1912, 4.1912, 5.9957 Å; angles 90.00, 90.00, 90.00 degrees
Element x y z (fractional)
1 La 0.0000 0.0000 0.0000
2 La 0.5000 0.5000 0.5000
3 Zn 0.0000 0.0000 0.5000
4 Cl 0.5000 0.5000 0.0000

Computed properties:
The calculation puts the offset from the most stable computed form at 0.0 meV/atom. As for the formation energy from raw total energies: -0.9422 eV/atom. The space-group type is P4/mmm (123). The calculation puts the electronic total energy at -0.1658 Ha/atom.

# K2AuCl

An optimized crystal structure of K2AuCl (GGA-PBEsol, Alexandria via LeMat-Bulk).

Cell lengths 3.9679, 4.1092, 15.7342 Å; angles 90.00, 90.00, 90.00 degrees
Element x y z (fractional)
1 K 0.0000 0.0000 0.0000
2 K 0.0000 0.5000 0.2341
3 K 0.5000 0.0000 0.7341
4 K 0.5000 0.5000 0.5000
5 Au 0.0000 0.5000 0.8359
6 Au 0.5000 0.0000 0.3359
7 Cl 0.0000 0.0000 0.5817
8 Cl 0.5000 0.5000 0.0817

Computed properties:
The calculation puts the offset from the most stable computed form at 32.0 meV/atom. As for the formation energy from raw total energies: -0.9452 eV/atom. The space-group type is Imm2 (44). The calculation puts the electronic total energy at -0.1101 Ha/atom.

# Zr2SiPb

An optimized crystal structure of Zr2SiPb (GGA-PBEsol, Alexandria via LeMat-Bulk).

Cell lengths 6.3842, 8.0810, 3.2332 Å; angles 90.00, 101.35, 90.00 degrees
Element x y z (fractional)
1 Zr 0.2500 0.2500 0.0000
2 Zr 0.2500 0.7500 0.0000
3 Zr 0.7500 0.2500 0.0000
4 Zr 0.7500 0.7500 0.0000
5 Si 0.0000 0.0000 0.5000
6 Si 0.5000 0.5000 0.5000
7 Pb 0.0000 0.5000 0.5000
8 Pb 0.5000 0.0000 0.5000

Computed properties:
The calculation puts the offset from the most stable computed form at 137.8 meV/atom. As for the formation energy from raw total energies: -0.3008 eV/atom. The space-group type is C2/m (12). The calculation puts the electronic total energy at -0.2676 Ha/atom.